1.
Ca2Dy2Cd15, optimized geometry, DFT PBE-GGA; SG = R-3m (166); ΔE_f = -2.63 eV per formula unit
1.0
-6.852 2.227 -3.470
-2.038 -6.534 -4.136
-5.499 -3.380 4.722
Ca Cd Dy
2 15 2
direct
0.324 0.324 0.324 Ca
0.676 0.676 0.676 Ca
0.000 0.703 0.297 Cd
0.703 0.297 0.000 Cd
0.145 0.632 0.632 Cd
0.368 0.855 0.368 Cd
0.297 0.703 0.000 Cd
0.000 0.000 0.500 Cd
0.632 0.632 0.145 Cd
0.000 0.297 0.703 Cd
0.500 0.000 0.000 Cd
0.855 0.368 0.368 Cd
0.368 0.368 0.855 Cd
0.000 0.500 0.000 Cd
0.297 0.000 0.703 Cd
0.632 0.145 0.632 Cd
0.703 0.000 0.297 Cd
0.905 0.905 0.905 Dy
0.095 0.095 0.095 Dy

***

2.
AcPmF6, optimized geometry, DFT PBE-GGA; SG = Amm2 (38); formation energy (no corrections) = -4058 meV per atom
1.0
-1.991 2.908 2.034
-4.650 -2.434 -1.073
0.778 -2.669 4.578
Ac F Pm
1 6 1
direct
0.500 0.498 0.502 Ac
0.500 0.836 0.164 F
0.000 0.196 0.418 F
0.500 0.292 0.058 F
0.000 0.675 0.325 F
0.000 0.582 0.804 F
0.500 0.942 0.708 F
0.000 0.978 0.022 Pm

***

3.
Pr2YAu, optimized geometry, DFT PBE-GGA; SG = R3m (160); ΔE_f = -0.92 eV per formula unit
1.0
-1.252 -0.615 3.539
2.461 -0.087 2.900
-0.802 9.849 3.471
Pr Au Y
2 1 1
direct
0.261 0.261 0.216 Pr
0.072 0.072 0.784 Pr
0.667 0.667 0.999 Au
0.499 0.499 0.502 Y

***

4.
K2BaBiSe4, optimized geometry, DFT PBE-GGA; SG = Imma (74); formation energy (no corrections) = -1028 meV per atom
1.0
9.195 -0.023 -0.374
-0.030 9.195 -0.374
-4.763 -4.766 6.864
Se Bi K Ba
8 2 4 2
direct
0.750 0.750 0.536 Se
0.733 0.274 0.503 Se
0.774 0.233 0.003 Se
0.226 0.767 0.997 Se
0.750 0.750 0.964 Se
0.250 0.250 0.036 Se
0.267 0.726 0.497 Se
0.250 0.250 0.464 Se
0.500 0.500 0.500 Bi
0.000 0.000 0.000 Bi
0.500 0.500 0.000 K
0.000 0.000 0.500 K
0.500 0.000 0.500 K
0.500 0.000 0.000 K
0.000 0.500 0.500 Ba
0.000 0.500 0.000 Ba

***

5.
Gd4Mg2C, optimized geometry, DFT PBE-GGA; SG = I4/mmm (139); ΔE_f = 0.07 eV per formula unit
1.0
-4.306 -1.391 -2.228
1.120 -4.842 0.857
-5.267 -2.750 6.186
Mg Gd C
2 4 1
direct
0.634 0.634 0.731 Mg
0.366 0.366 0.269 Mg
0.155 0.155 0.691 Gd
0.000 0.500 0.000 Gd
0.845 0.845 0.309 Gd
0.500 0.000 0.000 Gd
0.000 0.000 0.000 C

***

6.
Cr2InPd8, optimized geometry, DFT PBE-GGA; SG = Immm (71); ΔE_f = -1.13 eV per formula unit
1.0
-1.973 3.483 -1.206
-5.540 -1.807 3.846
6.076 2.113 3.407
Pd Cr In
8 2 1
direct
0.342 0.558 0.684 Pd
0.847 0.847 0.694 Pd
0.658 0.442 0.316 Pd
0.000 0.307 0.000 Pd
0.342 0.126 0.684 Pd
0.153 0.153 0.306 Pd
0.000 0.693 0.000 Pd
0.658 0.874 0.316 Pd
0.194 0.694 0.387 Cr
0.806 0.306 0.613 Cr
0.500 0.000 0.000 In

***

7.
BiAu2Cl8, optimized geometry, DFT PBE-GGA; SG = C2/m (12); formation energy (no corrections) = -299 meV per atom
1.0
-3.394 3.278 5.122
-5.360 -4.842 1.470
1.403 -4.454 5.704
Au Cl Bi
2 8 1
direct
0.250 0.244 0.244 Au
0.750 0.756 0.756 Au
0.704 0.173 0.173 Cl
0.213 0.316 0.901 Cl
0.787 0.684 0.099 Cl
0.725 0.576 0.576 Cl
0.275 0.424 0.424 Cl
0.296 0.827 0.827 Cl
0.213 0.901 0.316 Cl
0.787 0.099 0.684 Cl
0.000 0.000 0.000 Bi

***

8.
ReS, optimized geometry, DFT PBE-GGA; SG = P2_12_12_1 (19); formation energy (no corrections) = 247 meV per atom
1.0
-3.414 1.044 5.102
4.435 -1.346 3.243
2.356 7.744 -0.008
Re S
8 8
direct
0.113 0.025 0.283 Re
0.887 0.525 0.217 Re
0.320 0.677 0.495 Re
0.613 0.475 0.717 Re
0.387 0.975 0.783 Re
0.180 0.323 0.995 Re
0.680 0.177 0.005 Re
0.820 0.823 0.505 Re
0.272 0.585 0.778 S
0.645 0.474 0.434 S
0.355 0.974 0.066 S
0.145 0.026 0.566 S
0.728 0.085 0.722 S
0.772 0.915 0.222 S
0.855 0.526 0.934 S
0.228 0.415 0.278 S

***

Looking at energy for the records above, in order, we have -29.56; -52.55; -20.22; -60.32; -68.66; -64.66; -28.50; -128.65 eV per cell.